A plane-wave DFT calculation with PBE was carried out for CaAgRh after structural relaxation.

abc: 4.650 9.825 5.495
angles: 90.00 90.00 90.00
Element x y z (fractional)
Ca1 0.000 0.713 0.250
Ca2 0.000 0.287 0.750
Ca3 0.500 0.213 0.250
Ca4 0.500 0.787 0.750
Rh1 0.000 0.435 0.250
Rh2 0.000 0.565 0.750
Rh3 0.500 0.935 0.250
Rh4 0.500 0.065 0.750
Ag1 0.000 0.000 0.000
Ag2 0.000 0.000 0.500
Ag3 0.500 0.500 0.000
Ag4 0.500 0.500 0.500

Calculated values
SG = Cmcm
magnetic moment = 0.000 μB/f.u.
ΔE_f = -0.214 eV/atom
E_tot = -4.28 eV per atom
energy relative to the lowest polymorph listed for this composition = 27 kJ/mol of formula units
DOS at the Fermi energy = 0.5896 states/eV per atom